Entry 1:
Entry from the Alexandria database: Fe3Sb at its PBEsol-relaxed geometry (SCAN).

a b c (Å): 3.1687 3.1687 5.3871
angles (deg): 90.00 90.00 90.00
Last column: nearest neighbours and their distance in Å.
Atoms (fractional coordinates):
Fe: 0.0000 0.0000 0.0000  8 Fe 2.56, 2 Sb 2.69
Fe: 0.5000 0.5000 0.2287  5 Fe 2.46-2.56, 4 Sb 2.68
Fe: 0.5000 0.5000 0.7713  5 Fe 2.46-2.56, 4 Sb 2.68
Sb: 0.0000 0.0000 0.5000  10 Fe 2.68-2.69

Calculated values
V = 13.52 Å³/atom
Magnetic moment = 2.003 μB/atom
Energy = -22.757 eV per atom

---

Entry 2:
Entry from the Alexandria database: FeSb2 at its PBEsol-relaxed geometry (SCAN).

a b c (Å): 5.7715 6.4227 3.1146
angles (deg): 90.00 90.00 90.00
Last column: nearest neighbours and their distance in Å.
Atoms (fractional coordinates):
Fe: 0.0000 0.0000 0.0000  6 Sb 2.52-2.55
Fe: 0.5000 0.5000 0.5000  6 Sb 2.52-2.55
Sb: 0.1913 0.3531 0.0000  3 Fe 2.52-2.55
Sb: 0.3087 0.8531 0.5000  3 Fe 2.52-2.55
Sb: 0.6913 0.1469 0.5000  3 Fe 2.52-2.55
Sb: 0.8087 0.6469 0.0000  3 Fe 2.52-2.55

Calculated values
V = 19.24 Å³/atom
Magnetic moment = 0.311 μB/atom
Energy = -30.842 eV per atom